Density functional theory data (PBE+U) for a relaxed structure of Li6WO6.

```
13
Lattice="5.6886 -0.0022 -0.0016 2.7414 4.9845 -0.0016 2.7414 1.6202 4.7138" Properties=species:S:1:pos:R:3 pbc="T T T"
Li 5.4478 3.9166 4.3120
Li 5.1130 1.5869 3.3868
Li 6.0583 5.0156 1.3238
Li 5.7236 2.6858 0.3987
Li 7.3154 2.1916 2.3007
Li 3.8559 4.4108 2.4100
O 4.4462 4.1336 0.4663
O 6.7252 2.4688 4.2444
O 3.7086 3.0338 3.7570
O 5.4060 5.5429 3.0642
O 5.7653 1.0596 1.6464
O 7.4628 3.5686 0.9536
W 0.0000 0.0000 0.0000
```

- Calculated volume: 133.7 Å³ per cell
- Energy: -75.0 eV/f.u.
- Space-group type: R-3 (148)